Below is crystalline RbP2ClF at its relaxed geometry, with properties calculated at the PBE level.

Computed properties:
Formation energy without anion corrections in eV/atom: 0.889
DFT total energy in eV/cell: -11.062
N(E_F) in states/eV/atom: 3.974
Spin magnetization in μB per atom: 1.23

a b c (Å): 7.415 7.415 6.054
angles (deg): 90.00 90.00 90.00
Atoms (fractional coordinates):
Rb (0.000, 0.000, 0.000)
P (0.000, 0.500, 0.000)
P (0.500, 0.000, 0.000)
Cl (0.000, 0.000, 0.500)
F (0.500, 0.500, 0.500)